[1]
# GGA-PBE NaCu4Pd5, optimized geometry
# SG: P4/mmm
# Formation energy (eV per atom): -0.0917
data_NaCu4Pd5
_chemical_formula_sum 'Na1 Cu4 Pd5'
_space_group_name_H-M_alt 'P 1'
_space_group_IT_number 1
_cell_length_a 3.021
_cell_length_b 3.019
_cell_length_c 16.210
_cell_angle_alpha 90.00
_cell_angle_beta 90.00
_cell_angle_gamma 90.00
loop_
_space_group_symop_operation_xyz
'x,y,z'
loop_
_atom_site_label
_atom_site_type_symbol
_atom_site_fract_x
_atom_site_fract_y
_atom_site_fract_z
Na1 Na 0.000 0.000 0.000
Cu1 Cu 0.000 0.000 0.221
Cu2 Cu 0.000 0.000 0.407
Cu3 Cu 0.000 0.000 0.593
Cu4 Cu 0.000 0.000 0.779
Pd1 Pd 0.500 0.500 0.130
Pd2 Pd 0.500 0.500 0.315
Pd3 Pd 0.500 0.500 0.500
Pd4 Pd 0.500 0.500 0.685
Pd5 Pd 0.500 0.500 0.870

***

[2]
# GGA-PBE Pu2NpScS4, optimized geometry
# Uncorrected formation energy (eV per atom): -1.67
# SG: P2/m
data_Pu2NpScS4
_chemical_formula_sum 'Pu2 Np1 Sc1 S4'
_space_group_name_H-M_alt 'P 1'
_space_group_IT_number 1
_cell_length_a 3.870
_cell_length_b 6.720
_cell_length_c 6.718
_cell_angle_alpha 109.41
_cell_angle_beta 90.00
_cell_angle_gamma 90.00
loop_
_space_group_symop_operation_xyz
'x,y,z'
loop_
_atom_site_label
_atom_site_type_symbol
_atom_site_fract_x
_atom_site_fract_y
_atom_site_fract_z
Pu1 Pu 0.500 0.000 0.500
Pu2 Pu 0.000 0.500 0.500
Np1 Np 0.500 0.500 0.000
Sc1 Sc 0.000 0.000 0.000
S1 S 0.500 0.238 0.237
S2 S 0.500 0.762 0.763
S3 S 0.000 0.244 0.759
S4 S 0.000 0.756 0.241

***

[3]
# GGA-PBE PmSmHoZn, optimized geometry
# SG: P4mm
# Formation energy (eV per atom): -0.1567
# Relative energy among the computed polymorphs (meV/atom): 0
data_PmSmHoZn
_chemical_formula_sum 'Pm1 Sm1 Ho1 Zn1'
_space_group_name_H-M_alt 'P 1'
_space_group_IT_number 1
_cell_length_a 3.608
_cell_length_b 3.608
_cell_length_c 8.722
_cell_angle_alpha 90.00
_cell_angle_beta 90.00
_cell_angle_gamma 90.00
loop_
_space_group_symop_operation_xyz
'x,y,z'
loop_
_atom_site_label
_atom_site_type_symbol
_atom_site_fract_x
_atom_site_fract_y
_atom_site_fract_z
Pm1 Pm 0.000 0.000 0.077
Sm1 Sm 0.500 0.500 0.777
Ho1 Ho 0.500 0.500 0.368
Zn1 Zn 0.000 0.000 0.562

***

[4]
# GGA-PBE Sm3Y5Ho3, optimized geometry
# SG: P-62m
# Formation energy (eV per atom): 0.8199
data_Sm3Y5Ho3
_chemical_formula_sum 'Sm3 Y5 Ho3'
_space_group_name_H-M_alt 'P 1'
_space_group_IT_number 1
_cell_length_a 5.397
_cell_length_b 9.700
_cell_length_c 9.700
_cell_angle_alpha 120.00
_cell_angle_beta 90.00
_cell_angle_gamma 90.00
loop_
_space_group_symop_operation_xyz
'x,y,z'
loop_
_atom_site_label
_atom_site_type_symbol
_atom_site_fract_x
_atom_site_fract_y
_atom_site_fract_z
Sm1 Sm 0.500 0.629 0.629
Sm2 Sm 0.500 0.000 0.371
Sm3 Sm 0.500 0.371 0.000
Y1 Y 0.500 0.333 0.667
Y2 Y 0.500 0.667 0.333
Y3 Y 0.500 0.255 0.255
Y4 Y 0.500 0.000 0.745
Y5 Y 0.500 0.745 0.000
Ho1 Ho 0.000 0.448 0.448
Ho2 Ho 0.000 0.552 0.000
Ho3 Ho 0.000 0.000 0.552

***

[5]
# GGA-PBE AsBr5, optimized geometry
# Uncorrected formation energy (eV per atom): -0.24
# SG: Cm
data_AsBr5
_chemical_formula_sum 'As1 Br5'
_space_group_name_H-M_alt 'P 1'
_space_group_IT_number 1
_cell_length_a 7.221
_cell_length_b 7.221
_cell_length_c 8.573
_cell_angle_alpha 101.87
_cell_angle_beta 101.87
_cell_angle_gamma 31.36
loop_
_space_group_symop_operation_xyz
'x,y,z'
loop_
_atom_site_label
_atom_site_type_symbol
_atom_site_fract_x
_atom_site_fract_y
_atom_site_fract_z
As1 As 0.131 0.131 0.876
Br1 Br 0.149 0.149 0.388
Br2 Br 0.750 0.750 0.809
Br3 Br 0.520 0.520 0.966
Br4 Br 0.026 0.026 0.596
Br5 Br 0.257 0.257 0.198

***

[6]
# GGA-PBE LiBSe2, optimized geometry
# Uncorrected formation energy (eV per atom): -0.43
# SG: P1
data_LiBSe2
_chemical_formula_sum 'Li2 B2 Se4'
_space_group_name_H-M_alt 'P 1'
_space_group_IT_number 1
_cell_length_a 7.045
_cell_length_b 7.560
_cell_length_c 4.214
_cell_angle_alpha 92.64
_cell_angle_beta 91.16
_cell_angle_gamma 122.55
loop_
_space_group_symop_operation_xyz
'x,y,z'
loop_
_atom_site_label
_atom_site_type_symbol
_atom_site_fract_x
_atom_site_fract_y
_atom_site_fract_z
B1 B 0.581 0.926 0.855
B2 B 0.629 0.991 0.479
Se1 Se 0.765 0.877 0.157
Se2 Se 0.221 0.390 0.626
Se3 Se 0.373 0.949 0.153
Se4 Se 0.846 0.323 0.567
Li1 Li 0.123 0.535 0.121
Li2 Li 0.189 0.171 0.107

***

[7]
# GGA-PBE Ce2ErHf, optimized geometry
# SG: P4/mmm
# Formation energy (eV per atom): 0.1642
# Relative energy among the computed polymorphs (meV/atom): 29
data_Ce2ErHf
_chemical_formula_sum 'Ce2 Er1 Hf1'
_space_group_name_H-M_alt 'P 1'
_space_group_IT_number 1
_cell_length_a 4.889
_cell_length_b 4.704
_cell_length_c 4.704
_cell_angle_alpha 90.00
_cell_angle_beta 90.00
_cell_angle_gamma 90.00
loop_
_space_group_symop_operation_xyz
'x,y,z'
loop_
_atom_site_label
_atom_site_type_symbol
_atom_site_fract_x
_atom_site_fract_y
_atom_site_fract_z
Hf1 Hf 0.500 0.500 0.500
Ce1 Ce 0.000 0.000 0.500
Ce2 Ce 0.000 0.500 0.000
Er1 Er 0.500 0.000 0.000

***

[8]
# GGA-PBE CaTbSn2, optimized geometry
# SG: P4/mmm
# Formation energy (eV per atom): -0.6376
data_CaTbSn2
_chemical_formula_sum 'Ca1 Tb1 Sn2'
_space_group_name_H-M_alt 'P 1'
_space_group_IT_number 1
_cell_length_a 3.486
_cell_length_b 3.486
_cell_length_c 9.007
_cell_angle_alpha 90.00
_cell_angle_beta 90.00
_cell_angle_gamma 90.00
loop_
_space_group_symop_operation_xyz
'x,y,z'
loop_
_atom_site_label
_atom_site_type_symbol
_atom_site_fract_x
_atom_site_fract_y
_atom_site_fract_z
Ca1 Ca 0.500 0.500 0.500
Tb1 Tb 0.500 0.500 0.000
Sn1 Sn 0.000 0.000 0.755
Sn2 Sn 0.000 0.000 0.245

***

[9]
# GGA-PBE Dy2HoTeO8, optimized geometry
# Uncorrected formation energy (eV per atom): -2.52
# SG: Cmmm
data_Dy2HoTeO8
_chemical_formula_sum 'Dy2 Ho1 Te1 O8'
_space_group_name_H-M_alt 'P 1'
_space_group_IT_number 1
_cell_length_a 5.037
_cell_length_b 5.035
_cell_length_c 6.850
_cell_angle_alpha 90.00
_cell_angle_beta 90.00
_cell_angle_gamma 90.93
loop_
_space_group_symop_operation_xyz
'x,y,z'
loop_
_atom_site_label
_atom_site_type_symbol
_atom_site_fract_x
_atom_site_fract_y
_atom_site_fract_z
Dy1 Dy 0.500 0.500 0.751
Dy2 Dy 0.500 0.500 0.249
Ho1 Ho 0.000 0.000 0.500
Te1 Te 0.000 0.000 0.000
O1 O 0.182 0.818 0.213
O2 O 0.725 0.725 0.000
O3 O 0.818 0.182 0.213
O4 O 0.818 0.182 0.787
O5 O 0.275 0.275 0.000
O6 O 0.182 0.818 0.787
O7 O 0.692 0.692 0.500
O8 O 0.308 0.308 0.500

***

[10]
# GGA-PBE LiTcC2, optimized geometry
# SG: I-42d
# Formation energy (eV per atom): 0.7045
# Relative energy among the computed polymorphs (meV/atom): 0
data_LiTcC2
_chemical_formula_sum 'Li2 Tc2 C4'
_space_group_name_H-M_alt 'P 1'
_space_group_IT_number 1
_cell_length_a 4.900
_cell_length_b 4.900
_cell_length_c 5.739
_cell_angle_alpha 64.72
_cell_angle_beta 64.72
_cell_angle_gamma 90.00
loop_
_space_group_symop_operation_xyz
'x,y,z'
loop_
_atom_site_label
_atom_site_type_symbol
_atom_site_fract_x
_atom_site_fract_y
_atom_site_fract_z
C1 C 0.691 0.125 0.250
C2 C 0.059 0.625 0.250
C3 C 0.375 0.309 0.750
C4 C 0.875 0.941 0.750
Tc1 Tc 0.000 0.000 0.000
Tc2 Tc 0.750 0.250 0.500
Li1 Li 0.500 0.500 0.000
Li2 Li 0.250 0.750 0.500

***

[11]
# GGA-PBE KAu2O2, optimized geometry
# Uncorrected formation energy (eV per atom): -0.05
# SG: I4_1md
data_KAu2O2
_chemical_formula_sum 'K2 Au4 O4'
_space_group_name_H-M_alt 'P 1'
_space_group_IT_number 1
_cell_length_a 5.796
_cell_length_b 5.796
_cell_length_c 7.734
_cell_angle_alpha 112.01
_cell_angle_beta 112.01
_cell_angle_gamma 90.00
loop_
_space_group_symop_operation_xyz
'x,y,z'
loop_
_atom_site_label
_atom_site_type_symbol
_atom_site_fract_x
_atom_site_fract_y
_atom_site_fract_z
K1 K 0.032 0.032 0.063
K2 K 0.282 0.782 0.563
Au1 Au 0.615 0.872 0.230
Au2 Au 0.608 0.365 0.730
Au3 Au 0.122 0.365 0.730
Au4 Au 0.615 0.358 0.230
O1 O 0.459 0.688 0.919
O2 O 0.481 0.209 0.419
O3 O 0.938 0.209 0.419
O4 O 0.459 0.231 0.919

***

[12]
# GGA-PBE TaHg2Os, optimized geometry
# SG: R3m
# Formation energy (eV per atom): 0.3333
# Relative energy among the computed polymorphs (meV/atom): 94
data_TaHg2Os
_chemical_formula_sum 'Ta1 Hg2 Os1'
_space_group_name_H-M_alt 'P 1'
_space_group_IT_number 1
_cell_length_a 9.580
_cell_length_b 9.580
_cell_length_c 9.580
_cell_angle_alpha 19.02
_cell_angle_beta 19.02
_cell_angle_gamma 19.02
loop_
_space_group_symop_operation_xyz
'x,y,z'
loop_
_atom_site_label
_atom_site_type_symbol
_atom_site_fract_x
_atom_site_fract_y
_atom_site_fract_z
Hg1 Hg 0.007 0.007 0.007
Hg2 Hg 0.243 0.243 0.243
Os1 Os 0.489 0.489 0.489
Ta1 Ta 0.761 0.761 0.761